## MgOs8 (PBE)

Data for a geometry-optimized MgOs8 structure.

```
data_MgOs8
_space_group_name_H-M_alt 'I 4/m m m'
_space_group_IT_number 139
_space_group_name_Hall '-I 4 2'
_cell_length_a 8.2614
_cell_length_b 8.2614
_cell_length_c 3.8681
_cell_angle_alpha 90.00
_cell_angle_beta 90.00
_cell_angle_gamma 90.00
loop_
_atom_site_label
_atom_site_fract_x
_atom_site_fract_y
_atom_site_fract_z
Mg1 0.0000 0.0000 0.0000
Os1 0.0000 0.3415 0.0000
Os2 0.1748 0.1748 0.5000
```

- Size of the total moment: 0.00 Bohr magnetons per cell
- Electronic total energy: -10.003 eV per atom